No. 1
VASP calculation (GGA-PBE) on a relaxed ZnCuPd3 crystal.

a = 4.1260 Å, b = 4.1335 Å, c = 8.6907 Å
α = 90.00°, β = 103.81°, γ = 90.00°
Space group P2_1/m (No. 11)
Symmetry-distinct sites (fractional):
1 Zn 0.1523 0.2500 0.3042
2 Cu 0.3477 0.2500 0.6960
3 Pd 0.0569 0.7500 0.1140
4 Pd 0.2496 0.7500 0.4996
5 Pd 0.4432 0.7500 0.8863

magnetic moment	0.000	μB/atom
DFT formation energy	-313	meV per atom
Fermi-level density of states	4.98	states/eV/cell
energy above the most stable polymorph in this dataset	0	meV per atom



No. 2
VASP calculation (GGA-PBE) on a relaxed Zn3CuPd crystal.

a = 5.3067 Å, b = 3.9311 Å, c = 13.4137 Å
α = 90.00°, β = 90.00°, γ = 90.00°
Space group Pnma (No. 62)
Symmetry-distinct sites (fractional):
1 Zn 0.0736 0.2500 0.1421
2 Zn 0.1414 0.2500 0.5455
3 Zn 0.1721 0.2500 0.7548
4 Cu 0.1411 0.2500 0.9541
5 Pd 0.0727 0.2500 0.3441

magnetic moment	0.000	μB/atom
DFT formation energy	-282	meV per atom
Fermi-level density of states	4.65	states/eV/cell
energy above the most stable polymorph in this dataset	0	meV per atom



No. 3
VASP calculation (GGA-PBE) on a relaxed Zn5Cu4Pd crystal.

a = 7.5952 Å, b = 7.5952 Å, c = 5.1301 Å
α = 90.00°, β = 90.00°, γ = 90.00°
Space group I4 (No. 79)
Symmetry-distinct sites (fractional):
1 Zn 0.0000 0.0000 0.0000
2 Zn 0.0658 0.3307 0.7299
3 Cu 0.1230 0.2506 0.2403
4 Pd 0.0000 0.0000 0.5294

magnetic moment	0.000	μB/atom
DFT formation energy	59	meV per atom
Fermi-level density of states	3.68	states/eV/cell
energy above the most stable polymorph in this dataset	234	meV per atom



No. 4
VASP calculation (GGA-PBE) on a relaxed ZnCu5Pd5 crystal.

a = 4.7927 Å, b = 4.9919 Å, c = 6.6028 Å
α = 94.11°, β = 94.84°, γ = 93.03°
Space group P-1 (No. 2)
Symmetry-distinct sites (fractional):
1 Zn 0.0000 0.0000 0.0000
2 Cu 0.2475 0.7108 0.7204
3 Cu 0.2874 0.4060 0.3644
4 Cu 0.5000 0.0000 0.5000
5 Pd 0.0000 0.5000 0.0000
6 Pd 0.0056 0.1880 0.6464
7 Pd 0.4959 0.2341 0.8845

magnetic moment	0.000	μB/atom
DFT formation energy	-82	meV per atom
Fermi-level density of states	3.82	states/eV/cell